Record 1
Material: Ba2Cu2H7
Method: DFT, PBE
State: relaxed

CIF file:
```
data_Ba2Cu2H7
_chemical_formula_sum 'Ba4 Cu4 H14'
_cell_length_a 7.4961
_cell_length_b 9.8456
_cell_length_c 3.7348
_cell_angle_alpha 90.00
_cell_angle_beta 90.00
_cell_angle_gamma 90.00
_symmetry_space_group_name_H-M 'C m m m'
_symmetry_Int_Tables_number 65
_symmetry_space_group_name_Hall '-C 2 2'
loop_
_atom_site_label
_atom_site_fract_x
_atom_site_fract_y
_atom_site_fract_z
Ba1 0.0000 0.2335 0.0000
Cu1 0.2343 0.0000 0.5000
H1 0.0000 0.0000 0.5000
H2 0.2182 0.3436 0.5000
H3 0.2459 0.0000 0.0000
```

* final energy: -37.812 eV/f.u.
* Fermi-level density of states: 1.654 states/eV/f.u.

=====

Record 2
Material: CsSn2Se2
Method: DFT, PBE
State: relaxed

CIF file:
```
data_CsSn2Se2
_chemical_formula_sum 'Cs2 Sn4 Se4'
_cell_length_a 5.5240
_cell_length_b 5.5240
_cell_length_c 11.1980
_cell_angle_alpha 90.00
_cell_angle_beta 90.00
_cell_angle_gamma 90.00
_symmetry_space_group_name_H-M 'I 4/m m m'
_symmetry_Int_Tables_number 139
_symmetry_space_group_name_Hall '-I 4 2'
loop_
_atom_site_label
_atom_site_fract_x
_atom_site_fract_y
_atom_site_fract_z
Cs1 0.0000 0.0000 0.0000
Sn1 0.0000 0.0000 0.3437
Se1 0.0000 0.5000 0.2500
```

* final energy: -18.601 eV/f.u.
* Fermi-level density of states: 1.296 states/eV/f.u.
* formation energy (no corrections): -0.5546 eV/atom

=====

Record 3
Material: KTl2BiRh
Method: DFT, PBE
State: relaxed

CIF file:
```
data_KTl2BiRh
_chemical_formula_sum 'K1 Tl2 Bi1 Rh1'
_cell_length_a 5.3422
_cell_length_b 5.3422
_cell_length_c 5.5742
_cell_angle_alpha 90.00
_cell_angle_beta 90.00
_cell_angle_gamma 90.00
_symmetry_space_group_name_H-M 'P 4/m m m'
_symmetry_Int_Tables_number 123
_symmetry_space_group_name_Hall '-P 4 2'
loop_
_atom_site_label
_atom_site_fract_x
_atom_site_fract_y
_atom_site_fract_z
K1 0.0000 0.0000 0.0000
Tl1 0.0000 0.5000 0.5000
Bi1 0.5000 0.5000 0.0000
Rh1 0.5000 0.5000 0.5000
```

* DFT formation energy: -24 kJ/mol of formula units
* final energy: -17.312 eV/f.u.
* Fermi-level density of states: 3.492 states/eV/f.u.

=====

Record 4
Material: Be2SiIr
Method: DFT, PBE
State: relaxed

CIF file:
```
data_Be2SiIr
_chemical_formula_sum 'Be4 Si2 Ir2'
_cell_length_a 8.1125
_cell_length_b 2.7833
_cell_length_c 4.0703
_cell_angle_alpha 90.00
_cell_angle_beta 100.06
_cell_angle_gamma 90.00
_symmetry_space_group_name_H-M 'C 1 m 1'
_symmetry_Int_Tables_number 8
loop_
_symmetry_equiv_pos_as_xyz
'x,y,z'
'x,-y,z'
'x+1/2,y+1/2,z'
'x+1/2,-y+1/2,z'
loop_
_atom_site_label
_atom_site_fract_x
_atom_site_fract_y
_atom_site_fract_z
Be1 0.0000 0.0000 0.0000
Be2 0.2472 0.0000 0.7719
Si1 0.4895 0.0000 0.4980
Ir1 0.2442 0.5000 0.2563
```

* final energy: -22.766 eV/f.u.
* Fermi-level density of states: 2.064 states/eV/f.u.
* formation energy (no corrections): -0.2574 eV/atom

=====

Record 5
Material: CeZnGaPd
Method: DFT, PBE
State: relaxed

CIF file:
```
data_CeZnGaPd
_chemical_formula_sum 'Ce4 Zn4 Ga4 Pd4'
_cell_length_a 6.7165
_cell_length_b 6.7165
_cell_length_c 6.7165
_cell_angle_alpha 90.00
_cell_angle_beta 90.00
_cell_angle_gamma 90.00
_symmetry_space_group_name_H-M 'F -4 3 m'
_symmetry_Int_Tables_number 216
_symmetry_space_group_name_Hall 'F -4 2 3'
loop_
_atom_site_label
_atom_site_fract_x
_atom_site_fract_y
_atom_site_fract_z
Ce1 0.0000 0.0000 0.0000
Zn1 0.2500 0.2500 0.7500
Ga1 0.2500 0.2500 0.2500
Pd1 0.0000 0.0000 0.5000
```

* DFT formation energy: -192 kJ/mol of formula units
* final energy: -17.415 eV/f.u.
* Fermi-level density of states: 3.750 states/eV/f.u.

=====

Record 6
Material: Sm8MgBi6
Method: DFT, PBE
State: relaxed

CIF file:
```
data_Sm8MgBi6
_chemical_formula_sum 'Sm24 Mg3 Bi18'
_cell_length_a 9.4496
_cell_length_b 9.4496
_cell_length_c 19.5017
_cell_angle_alpha 90.00
_cell_angle_beta 90.00
_cell_angle_gamma 120.00
_symmetry_space_group_name_H-M 'R -3'
_symmetry_Int_Tables_number 148
_symmetry_space_group_name_Hall '-R 3'
loop_
_atom_site_label
_atom_site_fract_x
_atom_site_fract_y
_atom_site_fract_z
Sm1 0.0000 0.0000 0.1685
Sm2 0.0038 0.2824 0.5931
Mg1 0.0000 0.0000 0.5000
Bi1 0.0017 0.3738 0.4238
```

* DFT formation energy: -900 kJ/mol of formula units
* final energy: -71.963 eV/f.u.
* Fermi-level density of states: 15.316 states/eV/f.u.